Entry from the Alexandria database: a relaxed VCoH crystal (PBE).

Properties
Crystal system   monoclinic
DFT total energy   -19.8 eV/f.u.
Polymorph energy (0 for the lowest one)   75 meV/atom
D(E_F)   2.603 states/eV/f.u.
SG   P2_1/m (11)

Geometry as extended XYZ:
```
24
Lattice="7.8422 0.0000 0.0000 0.0000 2.5801 0.0000 -3.6731 0.0000 10.1908" Properties=species:S:1:pos:R:3 pbc="T T T"
V -0.8389 0.6450 3.0503
V 1.1737 1.9351 1.6029
V -0.7580 0.6450 8.4639
V 1.1372 1.9351 6.7655
V 3.0319 0.6450 3.4253
V 4.9272 1.9351 1.7269
V 2.9955 0.6450 8.5879
V 5.0081 1.9351 7.1405
Co -2.7560 0.6450 9.5351
Co -0.8827 0.6450 5.7343
Co 1.0667 1.9351 4.4079
Co 3.1003 0.6450 0.6475
Co 1.0689 1.9351 9.5433
Co 3.1024 0.6450 5.7829
Co 5.0519 1.9351 4.4565
Co 6.9251 1.9351 0.6557
H -0.8257 1.9351 4.5413
H -0.8563 1.9351 7.0264
H 1.0812 0.6450 3.0538
H 3.0313 1.9351 2.0326
H 1.1379 0.6450 8.1581
H 3.0879 1.9351 7.1370
H 5.0255 0.6450 3.1644
H 4.9949 0.6450 5.6495
```